(1)
# ZnInHg2

A relaxed ZnInHg2 crystal (PBEsol, Alexandria via LeMat-Bulk).

Values from the calculation:
The calculated volume comes out at 21.67 Å³/atom. The value obtained for the formation energy is 70 meV per atom. The symmetry is I4/mmm.

Cell lengths 5.2657, 5.2657, 5.2657 Å; angles 128.63, 128.63, 75.61 degrees
Last column: nearest neighbours and their distance in Å.
Fractional coordinates of all 4 atoms:
Zn 0.0000 0.0000 0.0000  8 Hg 3.09, 4 In 3.23
In 0.5000 0.5000 0.0000  8 Hg 3.09, 4 Zn 3.23
Hg 0.2500 0.7500 0.5000  4 In 3.09, 4 Zn 3.09, 4 Hg 3.23
Hg 0.7500 0.2500 0.5000  4 In 3.09, 4 Zn 3.09, 4 Hg 3.23

---

(2)
# ZnInHg2

A relaxed ZnInHg2 crystal (PBEsol, Alexandria via LeMat-Bulk).

Values from the calculation:
The calculated volume comes out at 21.56 Å³/atom. The value obtained for the formation energy is 59 meV per atom. The symmetry is P4mm.

Cell lengths 3.2178, 3.2178, 8.3289 Å; angles 90.00, 90.00, 90.00 degrees
Last column: nearest neighbours and their distance in Å.
Fractional coordinates of all 4 atoms:
Zn 0.0000 0.0000 0.0000  4 Hg 2.88, 4 In 3.01, 4 Zn 3.22
In 0.5000 0.5000 0.7630  4 Zn 3.01, 4 In 3.22, 4 Hg 3.25
Hg 0.0000 0.0000 0.4842  8 Hg 3.21-3.22, 4 In 3.25
Hg 0.5000 0.5000 0.2129  4 Zn 2.88, 8 Hg 3.21-3.22

---

(3)
# ZnInHg2

A relaxed ZnInHg2 crystal (PBEsol, Alexandria via LeMat-Bulk).

Values from the calculation:
The calculated volume comes out at 21.91 Å³/atom. The value obtained for the formation energy is 61 meV per atom. The symmetry is Pm.

Cell lengths 3.8593, 4.2636, 5.6253 Å; angles 90.00, 108.77, 90.00 degrees
Last column: nearest neighbours and their distance in Å.
Fractional coordinates of all 4 atoms:
Zn 0.0000 0.0000 0.0000  3 Hg 2.72, 4 In 2.91-3.04
In 0.4068 0.5000 0.8584  4 Zn 2.91-3.04, 3 Hg 2.91-3.19
Hg 0.0822 0.5000 0.3137  2 Zn 2.72, 2 In 2.91-3.01, 2 Hg 3.02
Hg 0.6733 0.0000 0.4943  1 Zn 2.72, 2 Hg 3.02

---

(4)
# ZnIn2Hg

A relaxed ZnIn2Hg crystal (PBEsol, Alexandria via LeMat-Bulk).

Values from the calculation:
The calculated volume comes out at 22.22 Å³/atom. The value obtained for the formation energy is 59 meV per atom. The symmetry is Cm.

Cell lengths 5.2381, 5.2381, 5.7425 Å; angles 107.79, 107.79, 36.57 degrees
Last column: nearest neighbours and their distance in Å.
Fractional coordinates of all 4 atoms:
Zn 0.0000 0.0000 0.0000  2 Hg 2.80, 5 In 2.82-3.05
In 0.5286 0.5286 0.4607  3 Hg 2.93-3.04, 2 Zn 3.05
In 0.7436 0.7436 0.1242  3 Zn 2.82-2.86
Hg 0.2975 0.2975 0.6731  2 Zn 2.80, 3 In 2.93-3.04

---

(5)
# ZnIn2Hg

A relaxed ZnIn2Hg crystal (PBEsol, Alexandria via LeMat-Bulk).

Values from the calculation:
The calculated volume comes out at 22.22 Å³/atom. The value obtained for the formation energy is 73 meV per atom. The symmetry is P2/m.

Cell lengths 3.7138, 4.0596, 6.0033 Å; angles 90.00, 100.89, 90.00 degrees
Last column: nearest neighbours and their distance in Å.
Fractional coordinates of all 4 atoms:
Zn 0.0000 0.0000 0.0000  4 In 2.84, 2 Hg 3.00
In 0.4500 0.5000 0.2410  2 Zn 2.84, 2 In 2.99-3.06, 2 Hg 3.08
In 0.5500 0.5000 0.7590  2 Zn 2.84, 2 In 2.99-3.06, 2 Hg 3.08
Hg 0.0000 0.0000 0.5000  2 Zn 3.00, 8 In 3.08-3.21

---

(6)
# ZnIn2Hg

A relaxed ZnIn2Hg crystal (PBEsol, Alexandria via LeMat-Bulk).

Values from the calculation:
The calculated volume comes out at 22.15 Å³/atom. The value obtained for the formation energy is 70 meV per atom. The symmetry is P4mm.

Cell lengths 3.5331, 3.5331, 7.0990 Å; angles 90.00, 90.00, 90.00 degrees
Last column: nearest neighbours and their distance in Å.
Fractional coordinates of all 4 atoms:
Zn 0.0000 0.0000 0.0000  4 Hg 2.90, 4 In 2.99
In 0.0000 0.0000 0.4773  4 Hg 3.15, 4 In 3.24, 1 Zn 3.39
In 0.5000 0.5000 0.7681  4 Zn 2.99, 1 Hg 3.12, 4 In 3.24
Hg 0.5000 0.5000 0.2072  4 Zn 2.90, 5 In 3.12-3.15